This record from Alexandria describes a relaxed CsMgO3 crystal. The functional is PBE.

The structure belongs to space group Pm-3m (No. 221); the cell edges are 4.425, 4.425 and 4.425 Å and the angles 90.00°, 90.00° and 90.00°. The inequivalent atoms are Cs at (0.000, 0.000, 0.000), Mg at (0.500, 0.500, 0.500) and O at (0.000, 0.000, 0.500).

The magnetic moment is 0.000 μB per atom. As for the electronic total energy: -15.8 eV per cell. The formation energy without anion corrections is 0.3080 eV per atom.